[1]
DFT (PBE-GGA) results for a relaxed structure of HoAlGa2.

POSCAR file:
```
HoAlGa2
1.0
4.569 0.000 0.000
0.000 5.404 3.111
0.000 -5.404 3.111
Al Ga Ho
2 4 2
direct
0.750 0.293 0.148 Al
0.250 0.148 0.293 Al
0.750 0.853 0.151 Ga
0.750 0.851 0.703 Ga
0.250 0.703 0.851 Ga
0.250 0.151 0.853 Ga
0.250 0.668 0.334 Ho
0.750 0.334 0.668 Ho
```

Results
Raw total energy   -32.67 eV for the cell shown

***

[2]
DFT (PBE-GGA) results for a relaxed structure of HoAlGa2.

POSCAR file:
```
HoAlGa2
1.0
-2.592 -3.069 2.140
4.413 -4.348 -0.889
4.504 -0.830 4.265
Al Ga Ho
2 4 2
direct
0.500 0.708 0.148 Al
0.500 0.148 0.708 Al
0.500 0.149 0.149 Ga
0.000 0.848 0.297 Ga
0.000 0.297 0.848 Ga
0.000 0.851 0.851 Ga
0.000 0.332 0.332 Ho
0.500 0.667 0.667 Ho
```

Results
Raw total energy   -32.69 eV for the cell shown

***

[3]
DFT (PBE-GGA) results for a relaxed structure of HoAl2Ga.

POSCAR file:
```
HoAl2Ga
1.0
4.568 0.000 0.000
0.000 3.131 5.402
0.000 -3.131 5.402
Al Ga Ho
4 2 2
direct
0.500 0.704 0.146 Al
0.500 0.147 0.147 Al
0.500 0.146 0.704 Al
0.000 0.854 0.854 Al
0.000 0.852 0.297 Ga
0.000 0.297 0.852 Ga
0.000 0.334 0.334 Ho
0.500 0.666 0.666 Ho
```

Results
Raw total energy   -33.85 eV for the cell shown